Density functional theory data (GGA-PBE) for a relaxed WAuSCl2 crystal.

Cell lengths 4.811, 4.811, 4.659 Å; angles 90.00, 90.00, 90.00 degrees
Each line ends with the local moment (μB).
Element x y z (fractional)
1 S 0.000 0.000 0.500  -0.01
2 Au 0.500 0.500 0.500  0.03
3 W 0.000 0.000 0.000  0.23
4 Cl 0.000 0.500 0.000  0.01
5 Cl 0.500 0.000 0.000  0.01

Properties
As for the symmetry: P4/mmm. The calculation puts the total magnetization at 0.35 μB/cell. The formation energy without anion corrections comes out at 0.277 eV/atom.